# 1
{"formula": "HgW2I", "functional": "GGA-PBE", "state": "relaxed", "volume_a3_per_atom": 22.5, "formation_energy_uncorrected_ev_per_atom": 1.441, "rho_g_cm3": 12.834, "lattice_angstrom": [[-2.112, 2.112, 10.084], [2.112, -2.112, 10.084], [2.112, 2.112, -10.084]], "species": ["Hg", "Hg", "W", "W", "W", "W", "I", "I"], "fractional_positions": [[0.000, 0.000, 0.000], [0.750, 0.250, 0.500], [0.053, 0.625, 0.928], [0.375, 0.303, 0.428], [0.697, 0.125, 0.072], [0.875, 0.947, 0.572], [0.250, 0.750, 0.500], [0.500, 0.500, 0.000]]}

# 2
{"formula": "CaTl2CuO", "functional": "GGA-PBE", "state": "relaxed", "volume_a3_per_atom": 24.1, "formation_energy_uncorrected_ev_per_atom": -0.511, "rho_g_cm3": 7.276, "lattice_angstrom": [[5.269, 0.000, 0.000], [0.000, 5.269, 0.000], [0.000, 0.000, 4.344]], "species": ["Ca", "Tl", "Tl", "Cu", "O"], "fractional_positions": [[0.000, 0.000, 0.000], [0.000, 0.500, 0.500], [0.500, 0.000, 0.500], [0.500, 0.500, 0.000], [0.000, 0.000, 0.500]]}

# 3
{"formula": "CdFeAs", "functional": "GGA-PBE", "state": "relaxed", "volume_a3_per_atom": 17.4, "formation_energy_mev_per_atom": 128, "rho_g_cm3": 7.753, "lattice_angstrom": [[3.055, 0.000, 0.000], [-1.528, 2.646, 0.000], [0.000, 0.000, 6.442]], "species": ["Cd", "Fe", "As"], "fractional_positions": [[0.000, 0.000, 0.000], [0.667, 0.333, 0.335], [0.333, 0.667, 0.574]]}

Copy entry 3 word for word.
{"formula": "CdFeAs", "functional": "GGA-PBE", "state": "relaxed", "volume_a3_per_atom": 17.4, "formation_energy_mev_per_atom": 128, "rho_g_cm3": 7.753, "lattice_angstrom": [[3.055, 0.000, 0.000], [-1.528, 2.646, 0.000], [0.000, 0.000, 6.442]], "species": ["Cd", "Fe", "As"], "fractional_positions": [[0.000, 0.000, 0.000], [0.667, 0.333, 0.335], [0.333, 0.667, 0.574]]}